(1)
The following is a PBE-GGA calculation of a relaxed SrHfSn3 crystal, from Alexandria via LeMat-Bulk.

POSCAR file:
```
SrHfSn3
1.0
5.534 0.000 0.000
0.000 5.534 0.000
0.000 0.000 5.534
Sr Hf Sn
1 1 3
direct
0.000 0.000 0.000
0.500 0.500 0.500
0.000 0.500 0.500
0.500 0.000 0.500
0.500 0.500 0.000
```

## Properties
* ΔE to the lowest computed polymorph: 0 meV/atom
* magnetization: 0.00 μB/cell

=====

(2)
The following is a PBE-GGA calculation of a relaxed SrHfSn3 crystal, from Alexandria via LeMat-Bulk.

POSCAR file:
```
SrHfSn3
1.0
5.705 0.000 0.000
0.000 5.705 0.000
0.000 0.000 5.705
Sr Hf Sn
1 1 3
direct
0.000 0.000 0.000
0.500 0.500 0.500
0.000 0.000 0.500
0.000 0.500 0.000
0.500 0.000 0.000
```

## Properties
* ΔE to the lowest computed polymorph: 1464 meV/atom
* magnetization: 0.00 μB/cell

=====

(3)
The following is a PBE-GGA calculation of a relaxed SrHf2Sn2 crystal, from Alexandria via LeMat-Bulk.

POSCAR file:
```
SrHf2Sn2
1.0
-2.743 2.743 4.992
2.743 -2.743 4.992
2.743 2.743 -4.992
Sr Hf Sn
1 2 2
direct
0.000 0.000 0.000
0.340 0.340 0.000
0.660 0.660 0.000
0.250 0.750 0.500
0.750 0.250 0.500
```

## Properties
* ΔE to the lowest computed polymorph: 246 meV/atom
* magnetization: 0.00 μB/cell

=====

(4)
The following is a PBE-GGA calculation of a relaxed SrHf2Sn2 crystal, from Alexandria via LeMat-Bulk.

POSCAR file:
```
SrHf2Sn2
1.0
8.795 0.000 0.000
0.000 8.795 0.000
0.000 0.000 3.319
Sr Hf Sn
2 4 4
direct
0.000 0.000 0.000
0.500 0.500 0.000
0.126 0.374 0.500
0.374 0.874 0.500
0.626 0.126 0.500
0.874 0.626 0.500
0.164 0.664 0.000
0.336 0.164 0.000
0.664 0.836 0.000
0.836 0.336 0.000
```

## Properties
* ΔE to the lowest computed polymorph: 2 meV/atom
* magnetization: 0.00 μB/cell

=====

(5)
The following is a PBE-GGA calculation of a relaxed SrHf2Sn crystal, from Alexandria via LeMat-Bulk.

POSCAR file:
```
SrHf2Sn
1.0
-2.243 2.243 10.940
2.243 -2.243 10.940
2.243 2.243 -10.940
Sr Hf Sn
2 4 2
direct
0.000 0.000 0.000
0.750 0.250 0.500
0.147 0.625 0.022
0.375 0.397 0.522
0.603 0.125 0.978
0.875 0.853 0.478
0.250 0.750 0.500
0.500 0.500 0.000
```

## Properties
* magnetization: 0.00 μB/cell
* E: -5.917 eV/atom

=====

(6)
The following is a PBE-GGA calculation of a relaxed SrHfTiSn2 crystal, from Alexandria via LeMat-Bulk.

POSCAR file:
```
SrHfTiSn2
1.0
5.562 0.000 0.000
0.000 5.562 0.000
0.000 0.000 4.897
Sr Hf Ti Sn
1 1 1 2
direct
0.000 0.000 0.000
0.500 0.500 0.500
0.500 0.500 0.000
0.000 0.500 0.500
0.500 0.000 0.500
```

## Properties
* magnetization: 0.00 μB/cell
* E: -5.282 eV/atom

=====

(7)
The following is a PBE-GGA calculation of a relaxed SrHfTlSn2 crystal, from Alexandria via LeMat-Bulk.

POSCAR file:
```
SrHfTlSn2
1.0
5.590 0.000 0.000
0.000 5.590 0.000
0.000 0.000 5.928
Sr Hf Tl Sn
1 1 1 2
direct
0.000 0.000 0.000
0.500 0.500 0.000
0.000 0.000 0.500
0.000 0.500 0.500
0.500 0.000 0.500
```

## Properties
* magnetization: 0.89 μB/cell
* E: -3.462 eV/atom

=====

(8)
The following is a PBE-GGA calculation of a relaxed HfTaSn crystal, from Alexandria via LeMat-Bulk.

POSCAR file:
```
HfTaSn
1.0
-1.814 1.814 4.667
1.814 -1.814 4.667
1.814 1.814 -4.667
Hf Ta Sn
1 1 1
direct
0.000 0.000 0.000
0.336 0.336 0.000
0.674 0.674 0.000
```

## Properties
* magnetization: 0.00 μB/cell
* E: -8.723 eV/atom

=====

(9)
The following is a PBE-GGA calculation of a relaxed HfTaSn2 crystal, from Alexandria via LeMat-Bulk.

POSCAR file:
```
HfTaSn2
1.0
-3.891 3.891 3.032
3.891 -3.891 3.032
3.891 3.891 -3.032
Hf Ta Sn
2 2 4
direct
0.000 0.000 0.000
0.750 0.250 0.500
0.250 0.750 0.500
0.500 0.500 0.000
0.134 0.625 0.009
0.375 0.384 0.509
0.616 0.125 0.991
0.875 0.866 0.491
```

## Properties
* ΔE to the lowest computed polymorph: 188 meV/atom
* magnetization: 0.00 μB/cell

=====

(10)
The following is a PBE-GGA calculation of a relaxed Hf2TaSn crystal, from Alexandria via LeMat-Bulk.

POSCAR file:
```
Hf2TaSn
1.0
4.637 0.000 0.000
0.000 4.637 0.000
0.000 0.000 3.830
Hf Ta Sn
2 1 1
direct
0.000 0.500 0.000
0.500 0.000 0.000
0.000 0.000 0.500
0.500 0.500 0.500
```

## Properties
* magnetization: 0.00 μB/cell
* E: -9.111 eV/atom

=====

(11)
The following is a PBE-GGA calculation of a relaxed Hf4TaSn2 crystal, from Alexandria via LeMat-Bulk.

POSCAR file:
```
Hf4TaSn2
1.0
7.495 0.000 0.000
0.000 5.900 0.000
-3.436 0.000 6.952
Hf Ta Sn
8 2 4
direct
0.019 0.250 0.007
0.157 0.501 0.728
0.157 0.999 0.728
0.302 0.250 0.444
0.698 0.750 0.556
0.843 0.001 0.272
0.843 0.499 0.272
0.981 0.750 0.993
0.406 0.750 0.139
0.594 0.250 0.861
0.236 0.750 0.413
0.439 0.250 0.133
0.561 0.750 0.867
0.764 0.250 0.587
```

## Properties
* magnetization: 0.00 μB/cell
* E: -8.549 eV/atom

=====

(12)
The following is a PBE-GGA calculation of a relaxed HfTaSn crystal, from Alexandria via LeMat-Bulk.

POSCAR file:
```
HfTaSn
1.0
5.369 -1.873 0.000
5.369 1.873 0.000
-2.185 0.000 6.148
Hf Ta Sn
2 2 2
direct
0.011 0.011 0.247
0.989 0.989 0.753
0.332 0.332 0.922
0.668 0.668 0.078
0.333 0.333 0.392
0.667 0.667 0.608
```

## Properties
* magnetization: 0.00 μB/cell
* E: -8.761 eV/atom

=====

(13)
The following is a PBE-GGA calculation of a relaxed HfTaSn crystal, from Alexandria via LeMat-Bulk.

POSCAR file:
```
HfTaSn
1.0
3.598 0.000 0.000
0.000 3.598 0.000
0.000 0.000 9.521
Hf Ta Sn
2 2 2
direct
0.250 0.250 0.090
0.750 0.750 0.910
0.250 0.250 0.424
0.750 0.750 0.576
0.250 0.250 0.738
0.750 0.750 0.262
```

## Properties
* magnetization: 0.00 μB/cell
* E: -8.737 eV/atom

=====

(14)
The following is a PBE-GGA calculation of a relaxed Hf2TaSn crystal, from Alexandria via LeMat-Bulk.

POSCAR file:
```
Hf2TaSn
1.0
1.595 0.921 9.800
-1.595 0.921 9.800
0.000 -1.842 9.800
Hf Ta Sn
2 1 1
direct
0.000 0.000 0.000
0.160 0.160 0.160
0.414 0.414 0.414
0.580 0.580 0.580
```

## Properties
* magnetization: 0.00 μB/cell
* E: -8.915 eV/atom

=====

(15)
The following is a PBE-GGA calculation of a relaxed Hf2TaSn crystal, from Alexandria via LeMat-Bulk.

POSCAR file:
```
Hf2TaSn
1.0
2.451 -1.922 0.000
2.451 1.922 0.000
-1.322 0.000 9.067
Hf Ta Sn
2 1 1
direct
0.009 0.009 0.260
0.991 0.991 0.740
0.500 0.500 0.500
0.500 0.500 0.000
```

## Properties
* magnetization: 0.00 μB/cell
* E: -9.021 eV/atom

=====

(16)
The following is a PBE-GGA calculation of a relaxed HfTaSn2 crystal, from Alexandria via LeMat-Bulk.

POSCAR file:
```
HfTaSn2
1.0
2.002 1.156 6.738
-2.002 1.156 6.738
0.000 -2.312 6.738
Hf Ta Sn
1 1 2
direct
0.000 0.000 0.000
0.500 0.500 0.500
0.247 0.247 0.247
0.753 0.753 0.753
```

## Properties
* ΔE to the lowest computed polymorph: 140 meV/atom
* magnetization: 0.00 μB/cell

=====

(17)
The following is a PBE-GGA calculation of a relaxed HfTaSn2 crystal, from Alexandria via LeMat-Bulk.

POSCAR file:
```
HfTaSn2
1.0
0.000 3.470 3.470
3.470 0.000 3.470
3.470 3.470 0.000
Hf Ta Sn
1 1 2
direct
0.000 0.000 0.000
0.500 0.500 0.500
0.250 0.250 0.250
0.750 0.750 0.750
```

## Properties
* ΔE to the lowest computed polymorph: 0 meV/atom
* magnetization: 0.00 μB/cell

=====

(18)
The following is a PBE-GGA calculation of a relaxed HfTa2Sn2 crystal, from Alexandria via LeMat-Bulk.

POSCAR file:
```
HfTa2Sn2
1.0
7.593 0.000 0.000
0.000 7.593 0.000
0.000 0.000 3.569
Hf Ta Sn
2 4 4
direct
0.000 0.000 0.000
0.500 0.500 0.000
0.153 0.347 0.500
0.347 0.847 0.500
0.653 0.153 0.500
0.847 0.653 0.500
0.143 0.643 0.000
0.357 0.143 0.000
0.643 0.857 0.000
0.857 0.357 0.000
```

## Properties
* magnetization: 0.00 μB/cell
* E: -8.256 eV/atom

=====

(19)
The following is a PBE-GGA calculation of a relaxed Hf2TaSn crystal, from Alexandria via LeMat-Bulk.

POSCAR file:
```
Hf2TaSn
1.0
-2.079 2.079 10.414
2.079 -2.079 10.414
2.079 2.079 -10.414
Hf Ta Sn
4 2 2
direct
0.119 0.625 0.994
0.375 0.369 0.494
0.631 0.125 0.006
0.875 0.881 0.506
0.000 0.000 0.000
0.750 0.250 0.500
0.250 0.750 0.500
0.500 0.500 0.000
```

## Properties
* magnetization: 0.00 μB/cell
* E: -8.463 eV/atom

=====

(20)
The following is a PBE-GGA calculation of a relaxed HfTaSn crystal, from Alexandria via LeMat-Bulk.

POSCAR file:
```
HfTaSn
1.0
4.917 0.000 0.000
-2.458 4.258 0.000
0.000 0.000 2.995
Hf Ta Sn
1 1 1
direct
0.000 0.000 0.000
0.667 0.333 0.593
0.333 0.667 0.389
```

## Properties
* magnetization: 0.25 μB/cell
* E: -8.490 eV/atom